(1)
# Pu3Si3Ru

An optimized crystal structure of Pu3Si3Ru (GGA-PBE, Alexandria).

Calculated values
ΔE_f (raw) = -0.5011 eV/atom

Unit cell a=10.5343 b=4.2144 c=13.6579 alpha=90.00 beta=112.63 gamma=90.00
Space group C2/m (No. 12)
Inequivalent atoms, fractional coordinates:
1 Pu 0.0404 0.0000 0.2769 [4 per cell]
2 Pu 0.1455 0.5000 0.1320 [4 per cell]
3 Pu 0.1835 0.0000 0.5839 [4 per cell]
4 Si 0.0358 0.5000 0.4267 [4 per cell]
5 Si 0.0888 0.0000 0.9557 [4 per cell]
6 Si 0.1684 0.5000 0.7387 [4 per cell]
7 Ru 0.1723 0.5000 0.9195 [4 per cell]

(2)
# NbPOs3

An optimized crystal structure of NbPOs3 (GGA-PBE, Alexandria).

Calculated values
ΔE_f = 12.9 eV per formula unit
polymorph energy (0 for the lowest one) = 1873.4 meV per atom

Unit cell a=4.7458 b=4.7458 c=4.7458 alpha=90.00 beta=90.00 gamma=90.00
Space group Pm-3m (No. 221)
Inequivalent atoms, fractional coordinates:
1 Nb 0.0000 0.0000 0.0000 [1 per cell]
2 P 0.5000 0.5000 0.5000 [1 per cell]
3 Os 0.0000 0.0000 0.5000 [3 per cell]

(3)
# ZnCd6Hg8

An optimized crystal structure of ZnCd6Hg8 (GGA-PBE, Alexandria).

Calculated values
ΔE_f = 0.6 eV per formula unit

Unit cell a=9.0981 b=9.0981 c=15.4986 alpha=90.00 beta=90.00 gamma=120.00
Space group R-3 (No. 148, hexagonal axes)
Inequivalent atoms, fractional coordinates:
1 Zn 0.0000 0.0000 0.0000 [3 per cell]
2 Cd 0.0004 0.3359 0.6662 [18 per cell]
3 Hg 0.0000 0.0000 0.3983 [6 per cell]
4 Hg 0.1011 0.5526 0.8368 [18 per cell]

(4)
# Pm2SmY5Er

An optimized crystal structure of Pm2SmY5Er (GGA-PBE, Alexandria).

Calculated values
ΔE_f = 2.3 eV per formula unit

Unit cell a=8.7407 b=8.7407 c=15.5124 alpha=90.00 beta=90.00 gamma=90.00
Space group I4/mcm (No. 140)
Inequivalent atoms, fractional coordinates:
1 Pm 0.1163 0.3837 0.0000 [8 per cell]
2 Sm 0.0000 0.0000 0.2500 [4 per cell]
3 Y 0.0000 0.0000 0.0000 [4 per cell]
4 Y 0.2093 0.2907 0.3625 [16 per cell]
5 Er 0.0000 0.5000 0.2500 [4 per cell]

no.,energy (eV/cell),theoretical density (Mg/m³)
1,-288.2,10.9
2,-36.2,10.8
3,-25.8,10.5
4,-195.1,5.9